*i*
VASP calculation (PBE) on a geometry-optimized MgHgBr2 structure.

```
data_MgHgBr2
_space_group_name_H-M_alt 'P 4/m m m'
_space_group_IT_number 123
_space_group_name_Hall '-P 4 2'
_cell_length_a 5.2260
_cell_length_b 5.2260
_cell_length_c 3.8630
_cell_angle_alpha 90.00
_cell_angle_beta 90.00
_cell_angle_gamma 90.00
loop_
_atom_site_label
_atom_site_type_symbol
_atom_site_fract_x
_atom_site_fract_y
_atom_site_fract_z
Mg1 Mg 0.0000 0.0000 0.0000
Hg1 Hg 0.5000 0.5000 0.0000
Br1 Br 0.0000 0.5000 0.5000
```


*ii*
VASP calculation (PBE) on a geometry-optimized MgHgBr2 structure.

```
data_MgHgBr2
_space_group_name_H-M_alt 'P 4/m m m'
_space_group_IT_number 123
_space_group_name_Hall '-P 4 2'
_cell_length_a 4.4446
_cell_length_b 4.4446
_cell_length_c 6.0596
_cell_angle_alpha 90.00
_cell_angle_beta 90.00
_cell_angle_gamma 90.00
loop_
_atom_site_label
_atom_site_type_symbol
_atom_site_fract_x
_atom_site_fract_y
_atom_site_fract_z
Mg1 Mg 0.0000 0.0000 0.0000
Hg1 Hg 0.5000 0.5000 0.5000
Br1 Br 0.0000 0.0000 0.5000
Br2 Br 0.5000 0.5000 0.0000
```


Winner for stability: *ii*


*i*
VASP calculation (PBE) on a geometry-optimized MgHg2Br structure.

```
data_MgHg2Br
_space_group_name_H-M_alt 'I m m 2'
_space_group_IT_number 44
_cell_length_a 3.7239
_cell_length_b 6.2111
_cell_length_c 9.8630
_cell_angle_alpha 90.00
_cell_angle_beta 90.00
_cell_angle_gamma 90.00
loop_
_space_group_symop_operation_xyz
'x,y,z'
'-x,-y,z'
'-x,y,z'
'x,-y,z'
'x+1/2,y+1/2,z+1/2'
'-x+1/2,-y+1/2,z+1/2'
'-x+1/2,y+1/2,z+1/2'
'x+1/2,-y+1/2,z+1/2'
loop_
_atom_site_label
_atom_site_type_symbol
_atom_site_fract_x
_atom_site_fract_y
_atom_site_fract_z
Mg1 Mg 0.0000 0.0000 0.0000
Hg1 Hg 0.0000 0.0000 0.5096
Hg2 Hg 0.0000 0.5000 0.2765
Br1 Br 0.0000 0.5000 0.6847
```


*ii*
VASP calculation (PBE) on a geometry-optimized MgHg2Br structure.

```
data_MgHg2Br
_space_group_name_H-M_alt 'I -4 2 d'
_space_group_IT_number 122
_space_group_name_Hall 'I -4 2bw'
_cell_length_a 8.8734
_cell_length_b 8.8734
_cell_length_c 5.7307
_cell_angle_alpha 90.00
_cell_angle_beta 90.00
_cell_angle_gamma 90.00
loop_
_atom_site_label
_atom_site_type_symbol
_atom_site_fract_x
_atom_site_fract_y
_atom_site_fract_z
Mg1 Mg 0.0000 0.0000 0.0000
Hg1 Hg 0.1973 0.2500 0.1250
Br1 Br 0.0000 0.0000 0.5000
```


*iii*
VASP calculation (PBE) on a geometry-optimized MgHg2Br structure.

```
data_MgHg2Br
_space_group_name_H-M_alt 'C 1 2/m 1'
_space_group_IT_number 12
_cell_length_a 5.8531
_cell_length_b 11.8059
_cell_length_c 4.1964
_cell_angle_alpha 90.00
_cell_angle_beta 132.52
_cell_angle_gamma 90.00
loop_
_space_group_symop_operation_xyz
'x,y,z'
'-x,-y,-z'
'-x,y,-z'
'x,-y,z'
'x+1/2,y+1/2,z'
'-x+1/2,-y+1/2,-z'
'-x+1/2,y+1/2,-z'
'x+1/2,-y+1/2,z'
loop_
_atom_site_label
_atom_site_type_symbol
_atom_site_fract_x
_atom_site_fract_y
_atom_site_fract_z
Mg1 Mg 0.0000 0.0000 0.0000
Hg1 Hg 0.2500 0.2500 0.5000
Br1 Br 0.0000 0.5000 0.0000
```


Winner for stability: *i*


*i*
VASP calculation (PBE) on a geometry-optimized Mg2Hg2Br structure.

```
data_Mg2Hg2Br
_space_group_name_H-M_alt 'P 4/m b m'
_space_group_IT_number 127
_space_group_name_Hall '-P 4 2ab'
_cell_length_a 8.2413
_cell_length_b 8.2413
_cell_length_c 3.6099
_cell_angle_alpha 90.00
_cell_angle_beta 90.00
_cell_angle_gamma 90.00
loop_
_atom_site_label
_atom_site_type_symbol
_atom_site_fract_x
_atom_site_fract_y
_atom_site_fract_z
Mg1 Mg 0.1804 0.3196 0.0000
Hg1 Hg 0.1264 0.6264 0.5000
Br1 Br 0.0000 0.0000 0.0000
```


*ii*
VASP calculation (PBE) on a geometry-optimized Mg2Hg2Br structure.

```
data_Mg2Hg2Br
_space_group_name_H-M_alt 'I 4/m m m'
_space_group_IT_number 139
_space_group_name_Hall '-I 4 2'
_cell_length_a 4.2636
_cell_length_b 4.2636
_cell_length_c 14.8366
_cell_angle_alpha 90.00
_cell_angle_beta 90.00
_cell_angle_gamma 90.00
loop_
_atom_site_label
_atom_site_type_symbol
_atom_site_fract_x
_atom_site_fract_y
_atom_site_fract_z
Mg1 Mg 0.0000 0.0000 0.1033
Hg1 Hg 0.0000 0.5000 0.2500
Br1 Br 0.0000 0.0000 0.5000
```


Winner for stability: *i*


*i*
VASP calculation (PBE) on a geometry-optimized MnHg3Br structure.

```
data_MnHg3Br
_space_group_name_H-M_alt 'P m -3 m'
_space_group_IT_number 221
_space_group_name_Hall '-P 4 2 3'
_cell_length_a 5.3703
_cell_length_b 5.3703
_cell_length_c 5.3703
_cell_angle_alpha 90.00
_cell_angle_beta 90.00
_cell_angle_gamma 90.00
loop_
_atom_site_label
_atom_site_type_symbol
_atom_site_fract_x
_atom_site_fract_y
_atom_site_fract_z
Mn1 Mn 0.0000 0.0000 0.0000
Hg1 Hg 0.0000 0.0000 0.5000
Br1 Br 0.5000 0.5000 0.5000
```


*ii*
VASP calculation (PBE) on a geometry-optimized MnHg3Br structure.

```
data_MnHg3Br
_space_group_name_H-M_alt 'P m -3 m'
_space_group_IT_number 221
_space_group_name_Hall '-P 4 2 3'
_cell_length_a 6.0900
_cell_length_b 6.0900
_cell_length_c 6.0900
_cell_angle_alpha 90.00
_cell_angle_beta 90.00
_cell_angle_gamma 90.00
loop_
_atom_site_label
_atom_site_type_symbol
_atom_site_fract_x
_atom_site_fract_y
_atom_site_fract_z
Mn1 Mn 0.0000 0.0000 0.0000
Hg1 Hg 0.0000 0.5000 0.5000
Br1 Br 0.5000 0.5000 0.5000
```


Winner for stability: *i*


*i*
VASP calculation (PBE) on a geometry-optimized MnHg2Br structure.

```
data_MnHg2Br
_space_group_name_H-M_alt 'C 1 m 1'
_space_group_IT_number 8
_cell_length_a 10.0864
_cell_length_b 3.6109
_cell_length_c 6.7983
_cell_angle_alpha 90.00
_cell_angle_beta 113.53
_cell_angle_gamma 90.00
loop_
_space_group_symop_operation_xyz
'x,y,z'
'x,-y,z'
'x+1/2,y+1/2,z'
'x+1/2,-y+1/2,z'
loop_
_atom_site_label
_atom_site_type_symbol
_atom_site_fract_x
_atom_site_fract_y
_atom_site_fract_z
Mn1 Mn 0.0000 0.0000 0.0000
Hg1 Hg 0.0232 0.5000 0.3409
Hg2 Hg 0.2467 0.5000 0.1236
Br1 Br 0.3717 0.0000 0.7159
```


*ii*
VASP calculation (PBE) on a geometry-optimized MnHg2Br structure.

```
data_MnHg2Br
_space_group_name_H-M_alt 'P 4 m m'
_space_group_IT_number 99
_cell_length_a 3.3729
_cell_length_b 3.3729
_cell_length_c 9.0144
_cell_angle_alpha 90.00
_cell_angle_beta 90.00
_cell_angle_gamma 90.00
loop_
_space_group_symop_operation_xyz
'x,y,z'
'-y,x,z'
'-x,-y,z'
'y,-x,z'
'-x,y,z'
'y,x,z'
'x,-y,z'
'-y,-x,z'
loop_
_atom_site_label
_atom_site_type_symbol
_atom_site_fract_x
_atom_site_fract_y
_atom_site_fract_z
Mn1 Mn 0.0000 0.0000 0.0000
Hg1 Hg 0.0000 0.0000 0.5177
Hg2 Hg 0.5000 0.5000 0.7979
Br1 Br 0.5000 0.5000 0.1650
```


*iii*
VASP calculation (PBE) on a geometry-optimized MnHg2Br structure.

```
data_MnHg2Br
_space_group_name_H-M_alt 'C m m m'
_space_group_IT_number 65
_space_group_name_Hall '-C 2 2'
_cell_length_a 4.3136
_cell_length_b 5.6064
_cell_length_c 8.0006
_cell_angle_alpha 90.00
_cell_angle_beta 90.00
_cell_angle_gamma 90.00
loop_
_atom_site_label
_atom_site_type_symbol
_atom_site_fract_x
_atom_site_fract_y
_atom_site_fract_z
Mn1 Mn 0.0000 0.0000 0.0000
Hg1 Hg 0.0000 0.5000 0.2253
Br1 Br 0.0000 0.0000 0.5000
```


Winner for stability: *i*


*i*
VASP calculation (PBE) on a geometry-optimized MnHg2Br structure.

```
data_MnHg2Br
_space_group_name_H-M_alt 'R -3 m'
_space_group_IT_number 166
_space_group_name_Hall '-R 3 2"'
_cell_length_a 3.7330
_cell_length_b 3.7330
_cell_length_c 24.3471
_cell_angle_alpha 90.00
_cell_angle_beta 90.00
_cell_angle_gamma 120.00
loop_
_atom_site_label
_atom_site_type_symbol
_atom_site_fract_x
_atom_site_fract_y
_atom_site_fract_z
Mn1 Mn 0.0000 0.0000 0.0000
Hg1 Hg 0.0000 0.0000 0.2586
Br1 Br 0.0000 0.0000 0.5000
```


*ii*
VASP calculation (PBE) on a geometry-optimized MnHg2Br structure.

```
data_MnHg2Br
_space_group_name_H-M_alt 'F m -3 m'
_space_group_IT_number 225
_space_group_name_Hall '-F 4 2 3'
_cell_length_a 7.5018
_cell_length_b 7.5018
_cell_length_c 7.5018
_cell_angle_alpha 90.00
_cell_angle_beta 90.00
_cell_angle_gamma 90.00
loop_
_atom_site_label
_atom_site_type_symbol
_atom_site_fract_x
_atom_site_fract_y
_atom_site_fract_z
Mn1 Mn 0.0000 0.0000 0.0000
Hg1 Hg 0.2500 0.2500 0.2500
Br1 Br 0.0000 0.0000 0.5000
```


Winner for stability: *i*


*i*
VASP calculation (PBE) on a geometry-optimized MnHg2Br structure.

```
data_MnHg2Br
_space_group_name_H-M_alt 'P 4/m m m'
_space_group_IT_number 123
_space_group_name_Hall '-P 4 2'
_cell_length_a 3.4876
_cell_length_b 3.4876
_cell_length_c 7.7475
_cell_angle_alpha 90.00
_cell_angle_beta 90.00
_cell_angle_gamma 90.00
loop_
_atom_site_label
_atom_site_type_symbol
_atom_site_fract_x
_atom_site_fract_y
_atom_site_fract_z
Mn1 Mn 0.0000 0.0000 0.0000
Hg1 Hg 0.5000 0.5000 0.2210
Br1 Br 0.0000 0.0000 0.5000
```


*ii*
VASP calculation (PBE) on a geometry-optimized MnHg2Br structure.

```
data_MnHg2Br
_space_group_name_H-M_alt 'P 1 m 1'
_space_group_IT_number 6
_cell_length_a 4.2123
_cell_length_b 3.5106
_cell_length_c 7.5989
_cell_angle_alpha 90.00
_cell_angle_beta 105.95
_cell_angle_gamma 90.00
loop_
_space_group_symop_operation_xyz
'x,y,z'
'x,-y,z'
loop_
_atom_site_label
_atom_site_type_symbol
_atom_site_fract_x
_atom_site_fract_y
_atom_site_fract_z
Mn1 Mn 0.0000 0.0000 0.0000
Hg1 Hg 0.1993 0.0000 0.4008
Hg2 Hg 0.5654 0.5000 0.1320
Br1 Br 0.8700 0.5000 0.7400
```


Winner for stability: *ii*


*i*
VASP calculation (PBE) on a geometry-optimized Mn2HgBr structure.

```
data_Mn2HgBr
_space_group_name_H-M_alt 'P m m m'
_space_group_IT_number 47
_cell_length_a 3.2946
_cell_length_b 3.8353
_cell_length_c 6.8887
_cell_angle_alpha 90.00
_cell_angle_beta 90.00
_cell_angle_gamma 90.00
loop_
_space_group_symop_operation_xyz
'x,y,z'
'-x,-y,-z'
'-x,-y,z'
'x,y,-z'
'x,-y,-z'
'-x,y,z'
'-x,y,-z'
'x,-y,z'
loop_
_atom_site_label
_atom_site_type_symbol
_atom_site_fract_x
_atom_site_fract_y
_atom_site_fract_z
Mn1 Mn 0.0000 0.0000 0.1937
Hg1 Hg 0.5000 0.5000 0.0000
Br1 Br 0.5000 0.0000 0.5000
```


*ii*
VASP calculation (PBE) on a geometry-optimized Mn2HgBr structure.

```
data_Mn2HgBr
_space_group_name_H-M_alt 'F -4 3 m'
_space_group_IT_number 216
_space_group_name_Hall 'F -4 2 3'
_cell_length_a 7.1154
_cell_length_b 7.1154
_cell_length_c 7.1154
_cell_angle_alpha 90.00
_cell_angle_beta 90.00
_cell_angle_gamma 90.00
loop_
_atom_site_label
_atom_site_type_symbol
_atom_site_fract_x
_atom_site_fract_y
_atom_site_fract_z
Mn1 Mn 0.0000 0.0000 0.0000
Mn2 Mn 0.2500 0.2500 0.2500
Hg1 Hg 0.0000 0.0000 0.5000
Br1 Br 0.2500 0.2500 0.7500
```


*iii*
VASP calculation (PBE) on a geometry-optimized Mn2HgBr structure.

```
data_Mn2HgBr
_space_group_name_H-M_alt 'C 1 2/m 1'
_space_group_IT_number 12
_cell_length_a 9.4138
_cell_length_b 3.2667
_cell_length_c 7.7873
_cell_angle_alpha 90.00
_cell_angle_beta 124.37
_cell_angle_gamma 90.00
loop_
_space_group_symop_operation_xyz
'x,y,z'
'-x,-y,-z'
'-x,y,-z'
'x,-y,z'
'x+1/2,y+1/2,z'
'-x+1/2,-y+1/2,-z'
'-x+1/2,y+1/2,-z'
'x+1/2,-y+1/2,z'
loop_
_atom_site_label
_atom_site_type_symbol
_atom_site_fract_x
_atom_site_fract_y
_atom_site_fract_z
Mn1 Mn 0.1459 0.0000 0.3346
Hg1 Hg 0.0000 0.5000 0.5000
Br1 Br 0.0000 0.5000 0.0000
```


*iv*
VASP calculation (PBE) on a geometry-optimized Mn2HgBr structure.

```
data_Mn2HgBr
_space_group_name_H-M_alt 'F m -3 m'
_space_group_IT_number 225
_space_group_name_Hall '-F 4 2 3'
_cell_length_a 6.8055
_cell_length_b 6.8055
_cell_length_c 6.8055
_cell_angle_alpha 90.00
_cell_angle_beta 90.00
_cell_angle_gamma 90.00
loop_
_atom_site_label
_atom_site_type_symbol
_atom_site_fract_x
_atom_site_fract_y
_atom_site_fract_z
Mn1 Mn 0.2500 0.2500 0.2500
Hg1 Hg 0.0000 0.0000 0.0000
Br1 Br 0.0000 0.0000 0.5000
```


Winner for stability: *iii*